(1)
# PBE LaCrFePb2, relaxed
# Spin magnetization, μB per atom: 0.092
# Excess energy over the best structure of this formula in the dataset, eV/atom: 0.930
# Energy relative to the elements, meV/atom: 1887
data_LaCrFePb2
_chemical_formula_sum 'La1 Cr1 Fe1 Pb2'
_cell_length_a 6.051
_cell_length_b 6.051
_cell_length_c 4.382
_cell_angle_alpha 90.00
_cell_angle_beta 90.00
_cell_angle_gamma 90.00
_symmetry_space_group_name_H-M 'P 4/m m m'
_symmetry_Int_Tables_number 123
_symmetry_space_group_name_Hall '-P 4 2'
loop_
_atom_site_label
_atom_site_type_symbol
_atom_site_fract_x
_atom_site_fract_y
_atom_site_fract_z
La1 La 0.000 0.000 0.000
Cr1 Cr 0.500 0.500 0.500
Fe1 Fe 0.000 0.000 0.500
Pb1 Pb 0.000 0.500 0.000

***

(2)
# PBE RbLaCr2Fe, relaxed
# Spin magnetization, μB per atom: 1.964
# Energy relative to the elements, meV/atom: 2128
data_RbLaCr2Fe
_chemical_formula_sum 'Rb1 La1 Cr2 Fe1'
_cell_length_a 5.019
_cell_length_b 5.019
_cell_length_c 6.067
_cell_angle_alpha 90.00
_cell_angle_beta 90.00
_cell_angle_gamma 90.00
_symmetry_space_group_name_H-M 'P 4/m m m'
_symmetry_Int_Tables_number 123
_symmetry_space_group_name_Hall '-P 4 2'
loop_
_atom_site_label
_atom_site_type_symbol
_atom_site_fract_x
_atom_site_fract_y
_atom_site_fract_z
Rb1 Rb 0.000 0.000 0.000
La1 La 0.000 0.000 0.500
Cr1 Cr 0.000 0.500 0.500
Fe1 Fe 0.500 0.500 0.000

***

(3)
# PBE LaCrFeSb2, relaxed
# Spin magnetization, μB per atom: 0.376
# Formation energy without anion corrections, eV/atom: 0.263
data_LaCrFeSb2
_chemical_formula_sum 'La1 Cr1 Fe1 Sb2'
_cell_length_a 5.164
_cell_length_b 5.164
_cell_length_c 4.311
_cell_angle_alpha 90.00
_cell_angle_beta 90.00
_cell_angle_gamma 90.00
_symmetry_space_group_name_H-M 'P 4/m m m'
_symmetry_Int_Tables_number 123
_symmetry_space_group_name_Hall '-P 4 2'
loop_
_atom_site_label
_atom_site_type_symbol
_atom_site_fract_x
_atom_site_fract_y
_atom_site_fract_z
La1 La 0.000 0.000 0.000
Cr1 Cr 0.500 0.500 0.000
Fe1 Fe 0.500 0.500 0.500
Sb1 Sb 0.000 0.500 0.500

***

(4)
# PBE LaV2CrFe, relaxed
# Spin magnetization, μB per atom: 0.874
# Energy relative to the elements, meV/atom: 555
data_LaV2CrFe
_chemical_formula_sum 'La1 V2 Cr1 Fe1'
_cell_length_a 4.516
_cell_length_b 4.516
_cell_length_c 4.517
_cell_angle_alpha 90.00
_cell_angle_beta 90.00
_cell_angle_gamma 90.00
_symmetry_space_group_name_H-M 'P 4/m m m'
_symmetry_Int_Tables_number 123
_symmetry_space_group_name_Hall '-P 4 2'
loop_
_atom_site_label
_atom_site_type_symbol
_atom_site_fract_x
_atom_site_fract_y
_atom_site_fract_z
La1 La 0.000 0.000 0.000
V1 V 0.000 0.500 0.500
Cr1 Cr 0.500 0.500 0.000
Fe1 Fe 0.500 0.500 0.500

***

(5)
# PBE Li2CrFe, relaxed
# Spin magnetization, μB per atom: 0.191
# Excess energy over the best structure of this formula in the dataset, eV/atom: 0.080
# Energy relative to the elements, meV/atom: 337
data_Li2CrFe
_chemical_formula_sum 'Li2 Cr1 Fe1'
_cell_length_a 2.408
_cell_length_b 3.911
_cell_length_c 5.501
_cell_angle_alpha 90.00
_cell_angle_beta 100.95
_cell_angle_gamma 90.00
_symmetry_space_group_name_H-M 'P 1 m 1'
_symmetry_Int_Tables_number 6
_symmetry_space_group_name_Hall 'P -2y'
loop_
_atom_site_label
_atom_site_type_symbol
_atom_site_fract_x
_atom_site_fract_y
_atom_site_fract_z
Li1 Li 0.000 0.000 0.000
Li2 Li 0.298 0.500 0.760
Cr1 Cr 0.757 0.500 0.302
Fe1 Fe 0.513 0.000 0.465

***

(6)
# PBE Li2CrFe, relaxed
# Spin magnetization, μB per atom: 0.419
# Excess energy over the best structure of this formula in the dataset, eV/atom: 0.000
# Energy relative to the elements, meV/atom: 257
data_Li2CrFe
_chemical_formula_sum 'Li4 Cr2 Fe2'
_cell_length_a 2.847
_cell_length_b 4.068
_cell_length_c 8.986
_cell_angle_alpha 90.00
_cell_angle_beta 90.00
_cell_angle_gamma 90.00
_symmetry_space_group_name_H-M 'C m m 2'
_symmetry_Int_Tables_number 35
_symmetry_space_group_name_Hall 'C 2 -2'
loop_
_atom_site_label
_atom_site_type_symbol
_atom_site_fract_x
_atom_site_fract_y
_atom_site_fract_z
Li1 Li 0.000 0.000 0.000
Li2 Li 0.000 0.500 0.286
Cr1 Cr 0.000 0.500 0.744
Fe1 Fe 0.000 0.000 0.530